First-principles (PBE) data for a relaxed SmCd20Pt2 crystal, as listed in OQMD.

energy	-1.700	eV/atom
spin magnetization	0.01	μB/cell
symmetry	Fd-3m
energy relative to the elements	-0.19	eV/atom

Lattice parameters (Å, degrees): 11.112 11.112 11.112 60.00 60.00 60.00
Positions (direct):
Sm 0.125 0.125 0.125
Sm 0.875 0.875 0.875
Cd 0.000 0.000 0.000
Cd 0.000 0.000 0.500
Cd 0.000 0.500 0.000
Cd 0.057 0.322 0.322
Cd 0.057 0.322 0.799
Cd 0.057 0.799 0.322
Cd 0.201 0.678 0.678
Cd 0.201 0.678 0.943
Cd 0.201 0.943 0.678
Cd 0.237 0.237 0.513
Cd 0.237 0.513 0.237
Cd 0.237 0.513 0.513
Cd 0.322 0.057 0.322
Cd 0.322 0.057 0.799
Cd 0.322 0.322 0.057
Cd 0.322 0.322 0.799
Cd 0.322 0.799 0.057
Cd 0.322 0.799 0.322
Cd 0.487 0.487 0.763
Cd 0.487 0.763 0.487
Cd 0.487 0.763 0.763
Cd 0.500 0.000 0.000
Cd 0.513 0.237 0.237
Cd 0.513 0.237 0.513
Cd 0.513 0.513 0.237
Cd 0.678 0.201 0.678
Cd 0.678 0.201 0.943
Cd 0.678 0.678 0.201
Cd 0.678 0.678 0.943
Cd 0.678 0.943 0.201
Cd 0.678 0.943 0.678
Cd 0.763 0.487 0.487
Cd 0.763 0.487 0.763
Cd 0.763 0.763 0.487
Cd 0.799 0.057 0.322
Cd 0.799 0.322 0.057
Cd 0.799 0.322 0.322
Cd 0.943 0.201 0.678
Cd 0.943 0.678 0.201
Cd 0.943 0.678 0.678
Pt 0.000 0.500 0.500
Pt 0.500 0.000 0.500
Pt 0.500 0.500 0.000
Pt 0.500 0.500 0.500

=====

First-principles (PBE) data for a relaxed Cd3Sn2Pt2 crystal, as listed in OQMD.

energy	-3.564	eV/atom
spin magnetization	0.00	μB/cell
symmetry	P6_3/mmc

Lattice parameters (Å, degrees): 4.621 4.621 16.481 90.00 90.00 120.00
Positions (direct):
Cd 0.000 0.000 0.164
Cd 0.000 0.000 0.336
Cd 0.000 0.000 0.664
Cd 0.000 0.000 0.836
Cd 0.333 0.667 0.250
Cd 0.667 0.333 0.750
Sn 0.333 0.667 0.566
Sn 0.333 0.667 0.934
Sn 0.667 0.333 0.066
Sn 0.667 0.333 0.434
Pt 0.000 0.000 0.000
Pt 0.000 0.000 0.500
Pt 0.333 0.667 0.750
Pt 0.667 0.333 0.250

=====

First-principles (PBE) data for a relaxed Cd2SnPt crystal, as listed in OQMD.

energy	-3.003	eV/atom
spin magnetization	0.00	μB/cell
symmetry	F-43m

Lattice parameters (Å, degrees): 4.872 4.872 4.872 60.00 60.00 60.00
Positions (direct):
Cd 0.000 0.000 0.000
Cd 0.250 0.250 0.250
Sn 0.500 0.500 0.500
Pt 0.750 0.750 0.750

=====

First-principles (PBE) data for a relaxed Sr2CdPt crystal, as listed in OQMD.

energy	-2.839	eV/atom
spin magnetization	0.10	μB/cell
symmetry	F-43m

Lattice parameters (Å, degrees): 5.244 5.244 5.244 60.00 60.00 60.00
Positions (direct):
Sr 0.000 0.000 0.000
Sr 0.250 0.250 0.250
Cd 0.750 0.750 0.750
Pt 0.500 0.500 0.500

=====

First-principles (PBE) data for a relaxed Sr3CdPt8 crystal, as listed in OQMD.

energy	-5.271	eV/atom
spin magnetization	0.00	μB/cell
symmetry	R3m

Lattice parameters (Å, degrees): 9.580 9.580 9.580 33.42 33.42 33.42
Positions (direct):
Sr 0.000 0.000 0.000
Sr 0.128 0.128 0.128
Sr 0.506 0.506 0.506
Cd 0.628 0.628 0.628
Pt 0.061 0.566 0.566
Pt 0.066 0.066 0.568
Pt 0.066 0.568 0.066
Pt 0.315 0.315 0.315
Pt 0.566 0.061 0.566
Pt 0.566 0.566 0.061
Pt 0.568 0.066 0.066
Pt 0.815 0.815 0.815

=====

First-principles (PBE) data for a relaxed Sr2CdPt crystal, as listed in OQMD.

energy	-3.088	eV/atom
spin magnetization	0.01	μB/cell
symmetry	Cmcm

Lattice parameters (Å, degrees): 6.831 6.831 9.214 90.00 90.00 145.66
Positions (direct):
Sr 0.136 0.864 0.561
Sr 0.136 0.864 0.939
Sr 0.864 0.136 0.061
Sr 0.864 0.136 0.439
Cd 0.420 0.580 0.750
Cd 0.580 0.420 0.250
Pt 0.235 0.765 0.250
Pt 0.765 0.235 0.750

=====

First-principles (PBE) data for a relaxed CdTcPt2 crystal, as listed in OQMD.

energy	-5.642	eV/atom
spin magnetization	0.88	μB/cell
symmetry	F-43m
energy relative to the elements	0.20	eV/atom

Lattice parameters (Å, degrees): 4.523 4.523 4.523 60.00 60.00 60.00
Positions (direct):
Cd 0.000 0.000 0.000
Tc 0.750 0.750 0.750
Pt 0.250 0.250 0.250
Pt 0.500 0.500 0.500

=====

First-principles (PBE) data for a relaxed CdTe2Pt crystal, as listed in OQMD.

energy	-2.986	eV/atom
spin magnetization	0.00	μB/cell
symmetry	F-43m

Lattice parameters (Å, degrees): 5.076 5.076 5.076 60.00 60.00 60.00
Positions (direct):
Cd 0.000 0.000 0.000
Te 0.250 0.250 0.250
Te 0.500 0.500 0.500
Pt 0.750 0.750 0.750

=====

First-principles (PBE) data for a relaxed ThCdPt crystal, as listed in OQMD.

energy	-5.500	eV/atom
spin magnetization	0.30	μB/cell
symmetry	F-43m
energy relative to the elements	-0.71	eV/atom

Lattice parameters (Å, degrees): 4.811 4.811 4.811 60.00 60.00 60.00
Positions (direct):
Th 0.000 0.000 0.000
Cd 0.500 0.500 0.500
Pt 0.750 0.750 0.750

=====

First-principles (PBE) data for a relaxed Tl2CdPt2 crystal, as listed in OQMD.

energy	-3.412	eV/atom
spin magnetization	0.00	μB/cell
symmetry	I4/mmm

Lattice parameters (Å, degrees): 7.557 7.557 7.557 149.08 149.08 44.30
Positions (direct):
Tl 0.111 0.111 0.000
Tl 0.889 0.889 0.000
Cd 0.500 0.500 0.000
Pt 0.250 0.750 0.500
Pt 0.750 0.250 0.500

=====

First-principles (PBE) data for a relaxed Tl2CdPt2 crystal, as listed in OQMD.

energy	-3.412	eV/atom
spin magnetization	0.00	μB/cell
symmetry	I4/mmm

Lattice parameters (Å, degrees): 7.000 7.000 7.000 144.53 144.53 51.04
Positions (direct):
Tl 0.250 0.750 0.500
Tl 0.750 0.250 0.500
Cd 0.000 0.000 0.000
Pt 0.398 0.398 0.000
Pt 0.602 0.602 0.000

=====

First-principles (PBE) data for a relaxed CdPtW crystal, as listed in OQMD.

energy	-5.913	eV/atom
spin magnetization	0.00	μB/cell
symmetry	F-43m
energy relative to the elements	0.72	eV/atom

Lattice parameters (Å, degrees): 4.391 4.391 4.391 60.00 60.00 60.00
Positions (direct):
Cd 0.000 0.000 0.000
Pt 0.500 0.500 0.500
W 0.250 0.250 0.250